# As2PtBr

A relaxed structure of As2PtBr (PBE, Alexandria).

Values from the calculation:
Formation energy (no corrections)   230 kJ/mol of formula units
Magnetic moment   0.00 μB/f.u.

Unit cell a=5.161 b=3.904 c=3.904 alpha=90.00 beta=90.00 gamma=90.00
Atoms (fractional coordinates):
Pt1 0.500 0.000 0.500
As1 0.000 0.500 0.500
As2 0.000 0.000 0.000
Br1 0.500 0.500 0.000



# As2PtBr

A relaxed structure of As2PtBr (PBE, Alexandria).

Values from the calculation:
Formation energy (no corrections)   199 kJ/mol of formula units
Magnetic moment   0.00 μB/f.u.

Unit cell a=3.128 b=6.327 c=4.301 alpha=90.00 beta=90.00 gamma=90.00
Atoms (fractional coordinates):
As1 0.500 0.500 0.000
As2 0.000 0.000 0.000
Br1 0.500 0.000 0.500
Pt1 0.000 0.500 0.500



# AsPtBr2

A relaxed structure of AsPtBr2 (PBE, Alexandria).

Values from the calculation:
Formation energy (no corrections)   -129 kJ/mol of formula units
Magnetic moment   0.00 μB/f.u.

Unit cell a=3.895 b=3.895 c=8.801 alpha=100.33 beta=100.33 gamma=59.83
Atoms (fractional coordinates):
Br1 0.038 0.038 0.061
Br2 0.867 0.867 0.649
Pt1 0.481 0.481 0.456
As1 0.115 0.115 0.335



# As2PtBr

A relaxed structure of As2PtBr (PBE, Alexandria).

Values from the calculation:
Formation energy (no corrections)   93 kJ/mol of formula units
Magnetic moment   0.00 μB/f.u.

Unit cell a=4.704 b=4.703 c=4.703 alpha=68.99 beta=73.56 gamma=111.01
Atoms (fractional coordinates):
Pt1 0.500 0.500 0.000
As1 0.500 0.000 0.500
As2 0.000 0.000 0.000
Br1 0.000 0.500 0.500